1.
Entry from Alexandria via LeMat-Bulk: an optimized crystal structure of BaBeCu2 (PBE-GGA).

abc: 4.7918 3.8735 5.0037
angles: 90.00 90.36 90.00
With the nearest neighbours (Å) after each atom.
Space group P2/m (No. 10)
Asymmetric unit:
1 Ba 0.0000 0.0000 0.0000 x1  8 Cu 3.39, 4 Be 3.45-3.47
2 Be 0.5000 0.0000 0.5000 x1  4 Cu 2.27
3 Cu 0.2539 0.5000 0.5009 x2  2 Be 2.27, 2 Cu 2.36-2.43

Computed properties:
* total DFT energy (no corrections): -3.23 eV per atom

2.
Entry from Alexandria via LeMat-Bulk: an optimized crystal structure of NbBr4NO (PBE-GGA).

abc: 12.9895 11.9784 8.9300
angles: 90.00 118.67 90.00
With the nearest neighbours (Å) after each atom.
Space group C2/m (No. 12)
Asymmetric unit:
1 Nb 0.0000 0.0000 0.0000 x2  2 O 1.93
2 Nb 0.1686 0.5000 0.6564 x4  2 O 1.95-1.98
3 Br 0.0000 0.2089 0.0000 x4  1 Nb 2.50
4 Br 0.0582 0.0000 0.7400 x4  2 N 2.30
5 Br 0.1441 0.3300 0.7939 x8  1 Nb 2.48
6 Br 0.2226 0.3734 0.4582 x8  1 Nb 2.67
7 N 0.0000 0.1081 0.5000 x4  2 Br 2.30
8 N 0.0000 0.5000 0.0000 x2  6 Br 3.49-3.79
9 O 0.0000 0.5000 0.5000 x2  2 Nb 1.95
10 O 0.1641 0.0000 0.1670 x4  2 Nb 1.93-1.98

Computed properties:
* total DFT energy (no corrections): -4.45 eV per atom
* uncorrected formation energy: -158 meV/atom

3.
Entry from Alexandria via LeMat-Bulk: an optimized crystal structure of Re2OsAu (PBE-GGA).

abc: 2.7750 2.7750 27.9458
angles: 90.00 90.00 120.00
With the nearest neighbours (Å) after each atom.
Space group R3m (No. 160, hexagonal axes)
Asymmetric unit:
1 Re 0.0000 0.0000 0.0000 x3  9 Re 2.73-2.77, 3 Au 2.94
2 Re 0.0000 0.0000 0.2542 x3  3 Os 2.69, 9 Re 2.73-2.77
3 Os 0.0000 0.0000 0.5103 x3  3 Re 2.69, 6 Os 2.77, 3 Au 2.95
4 Au 0.0000 0.0000 0.7549 x3  6 Au 2.77, 3 Re 2.94, 3 Os 2.95

Computed properties:
* total DFT energy (no corrections): -9.60 eV per atom
* ΔE to the lowest computed polymorph: 0.00 eV per formula unit

4.
Entry from Alexandria via LeMat-Bulk: an optimized crystal structure of FeCoIr3 (PBE-GGA).

abc: 2.6937 2.6937 32.1242
angles: 90.00 90.00 120.00
With the nearest neighbours (Å) after each atom.
Space group R3m (No. 160, hexagonal axes)
Asymmetric unit:
1 Fe 0.0000 0.0000 0.0000 x3  6 Ir 2.61-2.64, 6 Fe 2.69
2 Co 0.0000 0.0000 0.2013 x3  6 Ir 2.58-2.62, 6 Co 2.69
3 Ir 0.0000 0.0000 0.3987 x3  3 Fe 2.61, 9 Ir 2.69-2.78
4 Ir 0.0000 0.0000 0.6004 x3  3 Co 2.62, 3 Fe 2.64, 6 Ir 2.69
5 Ir 0.0000 0.0000 0.8037 x3  3 Co 2.58, 9 Ir 2.69-2.78

Computed properties:
* total DFT energy (no corrections): -8.42 eV per atom
* ΔE to the lowest computed polymorph: 0.00 eV per formula unit

5.
Entry from Alexandria via LeMat-Bulk: an optimized crystal structure of Ce5Tc2Ru (PBE-GGA).

abc: 5.3868 12.4613 13.5760
angles: 90.00 90.00 90.00
With the nearest neighbours (Å) after each atom.
Space group Cmcm (No. 63)
Asymmetric unit:
1 Ce 0.0000 0.0402 0.1208 x8  1 Tc 2.39, 1 Ru 2.63
2 Ce 0.0000 0.2693 0.7500 x4  2 Ru 2.73, 2 Tc 2.92
3 Ce 0.0000 0.3362 0.0691 x8  2 Tc 2.71, 1 Ru 3.01
4 Tc 0.0000 0.1431 0.5688 x8  1 Ce 2.39
5 Ru 0.0000 0.1972 0.2500 x4  4 Ce 2.63-2.73

Computed properties:
* total DFT energy (no corrections): -7.45 eV per atom

6.
Entry from Alexandria via LeMat-Bulk: an optimized crystal structure of PmZnInSn (PBE-GGA).

abc: 4.5213 4.5704 4.6827
angles: 90.00 90.00 90.00
With the nearest neighbours (Å) after each atom.
Space group Pmmm (No. 47)
Asymmetric unit:
1 Pm 0.0000 0.0000 0.0000 x1  4 Sn 3.21, 4 Zn 3.25, 4 In 3.27
2 Zn 0.5000 0.0000 0.5000 x1  4 In 3.21, 4 Pm 3.25, 4 Sn 3.27
3 In 0.0000 0.5000 0.5000 x1  4 Zn 3.21, 4 Sn 3.25, 4 Pm 3.27
4 Sn 0.5000 0.5000 0.0000 x1  4 Pm 3.21, 4 In 3.25, 4 Zn 3.27

Computed properties:
* total DFT energy (no corrections): -3.63 eV per atom
* ΔE to the lowest computed polymorph: 0.00 eV per formula unit

7.
Entry from Alexandria via LeMat-Bulk: an optimized crystal structure of Ag3Pb (PBE-GGA).

abc: 9.8481 3.2181 5.3845
angles: 90.00 100.87 90.00
With the nearest neighbours (Å) after each atom.
Space group C2/m (No. 12)
Asymmetric unit:
1 Ag 0.0000 0.0000 0.0000 x2  8 Ag 2.95-3.22, 4 Pb 3.14
2 Ag 0.2430 0.5000 0.2272 x4  7 Ag 2.95-3.22, 3 Pb 3.03-3.12
3 Pb 0.0000 0.5000 0.5000 x2  10 Ag 3.03-3.14, 2 Pb 3.22

Computed properties:
* total DFT energy (no corrections): -2.97 eV per atom

8.
Entry from Alexandria via LeMat-Bulk: an optimized crystal structure of YCrHg3 (PBE-GGA).

abc: 5.0110 5.0110 5.0110
angles: 90.00 90.00 90.00
With the nearest neighbours (Å) after each atom.
Space group Pm-3m (No. 221)
Asymmetric unit:
1 Y 0.0000 0.0000 0.0000 x1  12 Hg 3.54
2 Cr 0.5000 0.5000 0.5000 x1  6 Hg 2.51
3 Hg 0.0000 0.5000 0.5000 x3  2 Cr 2.51

Computed properties:
* total DFT energy (no corrections): -2.94 eV per atom
* ΔE to the lowest computed polymorph: 0.00 eV per formula unit